Entry from the Alexandria database: a relaxed TlPH3 crystal (PBE).

Cell and atoms, written as CIF:
```
data_TlPH3
_chemical_formula_sum 'Tl2 P2 H6'
_symmetry_space_group_name_H-M 'P 1 c 1'
_symmetry_Int_Tables_number 7
_cell_length_a 4.047
_cell_length_b 9.462
_cell_length_c 6.452
_cell_angle_alpha 90.00
_cell_angle_beta 123.91
_cell_angle_gamma 90.00
loop_
_symmetry_equiv_pos_as_xyz
'x,y,z'
'x,-y,z+1/2'
loop_
_atom_site_label
_atom_site_fract_x
_atom_site_fract_y
_atom_site_fract_z
Tl1 0.000 0.033 0.000
P1 0.070 0.291 0.504
H1 0.059 0.364 0.306
H2 0.418 0.364 0.696
H3 0.805 0.389 0.511
```

As for the total magnetic moment: 0.000 μB/atom. As for the total energy: -0.25921 Ry/atom. For the offset from the most stable computed form, the calculation gives 0.0000 eV/atom.


Entry from the Alexandria database: a relaxed ScAu2Se crystal (PBE).

Cell and atoms, written as CIF:
```
data_ScAu2Se
_chemical_formula_sum 'Sc1 Au2 Se1'
_symmetry_space_group_name_H-M 'P 4/m m m'
_symmetry_Int_Tables_number 123
_symmetry_space_group_name_Hall '-P 4 2'
_cell_length_a 3.868
_cell_length_b 3.868
_cell_length_c 5.286
_cell_angle_alpha 90.00
_cell_angle_beta 90.00
_cell_angle_gamma 90.00
loop_
_atom_site_label
_atom_site_fract_x
_atom_site_fract_y
_atom_site_fract_z
Sc1 0.000 0.000 0.000
Au1 0.000 0.500 0.500
Se1 0.500 0.500 0.000
```

As for the total magnetic moment: 0.000 μB/atom. As for the total energy: -0.34699 Ry/atom. The formation energy from raw total energies is -0.63 eV per atom.


Entry from the Alexandria database: a relaxed LaPr5Pd2 crystal (PBE).

Cell and atoms, written as CIF:
```
data_LaPr5Pd2
_chemical_formula_sum 'La4 Pr20 Pd8'
_symmetry_space_group_name_H-M 'C m c m'
_symmetry_Int_Tables_number 63
_symmetry_space_group_name_Hall '-C 2c 2'
_cell_length_a 4.017
_cell_length_b 12.833
_cell_length_c 19.304
_cell_angle_alpha 90.00
_cell_angle_beta 90.00
_cell_angle_gamma 90.00
loop_
_atom_site_label
_atom_site_fract_x
_atom_site_fract_y
_atom_site_fract_z
La1 0.000 0.138 0.250
Pr1 0.000 0.128 0.750
Pr2 0.000 0.146 0.040
Pr3 0.000 0.437 0.112
Pd1 0.000 0.269 0.633
```

As for the total magnetic moment: 0.000 μB/atom. As for the total energy: -0.38332 Ry/atom. As for the formation energy from the elements: -0.31 eV per atom.


Entry from the Alexandria database: a relaxed Ir6PtRh2 crystal (PBE).

Cell and atoms, written as CIF:
```
data_Ir6PtRh2
_chemical_formula_sum 'Ir24 Pt4 Rh8'
_symmetry_space_group_name_H-M 'C 1 2/c 1'
_symmetry_Int_Tables_number 15
_cell_length_a 11.384
_cell_length_b 7.221
_cell_length_c 8.757
_cell_angle_alpha 90.00
_cell_angle_beta 127.81
_cell_angle_gamma 90.00
loop_
_symmetry_equiv_pos_as_xyz
'x,y,z'
'-x,-y,-z'
'-x,y,-z+1/2'
'x,-y,z+1/2'
'x+1/2,y+1/2,z'
'-x+1/2,-y+1/2,-z'
'-x+1/2,y+1/2,-z+1/2'
'x+1/2,-y+1/2,z+1/2'
loop_
_atom_site_label
_atom_site_fract_x
_atom_site_fract_y
_atom_site_fract_z
Ir1 0.140 0.121 0.309
Ir2 0.149 0.487 0.322
Ir3 0.214 0.304 0.119
Pt1 0.000 0.190 0.750
Rh1 0.070 0.320 0.510
```

As for the total magnetic moment: 0.000 μB/atom. As for the total energy: -0.58388 Ry/atom. As for the formation energy from the elements: 0.27 eV per atom. For the offset from the most stable computed form, the calculation gives 0.0000 eV/atom.


Entry from the Alexandria database: a relaxed Li2YCu crystal (PBE).

Cell and atoms, written as CIF:
```
data_Li2YCu
_chemical_formula_sum 'Li4 Y2 Cu2'
_symmetry_space_group_name_H-M 'C m m m'
_symmetry_Int_Tables_number 65
_symmetry_space_group_name_Hall '-C 2 2'
_cell_length_a 5.618
_cell_length_b 9.065
_cell_length_c 3.206
_cell_angle_alpha 90.00
_cell_angle_beta 90.00
_cell_angle_gamma 90.00
loop_
_atom_site_label
_atom_site_fract_x
_atom_site_fract_y
_atom_site_fract_z
Li1 0.250 0.250 0.000
Y1 0.000 0.000 0.500
Cu1 0.000 0.500 0.500
```

As for the total magnetic moment: 0.000 μB/atom. As for the total energy: -0.24368 Ry/atom. As for the formation energy from the elements: 0.28 eV per atom. For the offset from the most stable computed form, the calculation gives 0.3028 eV/atom.


Entry from the Alexandria database: a relaxed Cs3PmY2S6 crystal (PBE).

Cell and atoms, written as CIF:
```
data_Cs3PmY2S6
_chemical_formula_sum 'Cs6 Pm2 Y4 S12'
_symmetry_space_group_name_H-M 'C 1 2/m 1'
_symmetry_Int_Tables_number 12
_cell_length_a 7.184
_cell_length_b 12.443
_cell_length_c 8.424
_cell_angle_alpha 90.00
_cell_angle_beta 106.52
_cell_angle_gamma 90.00
loop_
_symmetry_equiv_pos_as_xyz
'x,y,z'
'-x,-y,-z'
'-x,y,-z'
'x,-y,z'
'x+1/2,y+1/2,z'
'-x+1/2,-y+1/2,-z'
'-x+1/2,y+1/2,-z'
'x+1/2,-y+1/2,z'
loop_
_atom_site_label
_atom_site_fract_x
_atom_site_fract_y
_atom_site_fract_z
Cs1 0.000 0.000 0.000
Cs2 0.000 0.334 0.000
Pm1 0.000 0.500 0.500
Y1 0.000 0.167 0.500
S1 0.222 0.000 0.683
S2 0.231 0.330 0.683
```

As for the total magnetic moment: 0.000 μB/atom. As for the total energy: -0.41014 Ry/atom. The formation energy from raw total energies is -1.83 eV per atom.


Entry from the Alexandria database: a relaxed SiBSeS crystal (PBE).

Cell and atoms, written as CIF:
```
data_SiBSeS
_chemical_formula_sum 'Si1 B1 Se1 S1'
_symmetry_space_group_name_H-M 'P 1'
_symmetry_Int_Tables_number 1
_cell_length_a 3.218
_cell_length_b 4.724
_cell_length_c 6.935
_cell_angle_alpha 93.96
_cell_angle_beta 101.76
_cell_angle_gamma 109.68
loop_
_symmetry_equiv_pos_as_xyz
'x,y,z'
loop_
_atom_site_label
_atom_site_fract_x
_atom_site_fract_y
_atom_site_fract_z
Si1 0.000 0.000 0.000
B1 0.104 0.339 0.856
Se1 0.549 0.909 0.214
S1 0.639 0.496 0.760
```

As for the total magnetic moment: 0.000 μB/atom. As for the total energy: -0.36007 Ry/atom. The formation energy from raw total energies is 0.03 eV per atom. For the offset from the most stable computed form, the calculation gives 0.2793 eV/atom.


Entry from the Alexandria database: a relaxed YBeAs2Se crystal (PBE).

Cell and atoms, written as CIF:
```
data_YBeAs2Se
_chemical_formula_sum 'Y1 Be1 As2 Se1'
_symmetry_space_group_name_H-M 'P 4/m m m'
_symmetry_Int_Tables_number 123
_symmetry_space_group_name_Hall '-P 4 2'
_cell_length_a 5.459
_cell_length_b 5.459
_cell_length_c 5.367
_cell_angle_alpha 90.00
_cell_angle_beta 90.00
_cell_angle_gamma 90.00
loop_
_atom_site_label
_atom_site_fract_x
_atom_site_fract_y
_atom_site_fract_z
Y1 0.000 0.000 0.000
Be1 0.500 0.500 0.500
As1 0.000 0.500 0.000
Se1 0.000 0.000 0.500
```

As for the total magnetic moment: 0.003 μB/atom. As for the total energy: -0.28348 Ry/atom. The formation energy from raw total energies is 0.74 eV per atom. For the offset from the most stable computed form, the calculation gives 1.0489 eV/atom.